(1)
Compound: CoTc2Os
Source: Alexandria via LeMat-Bulk
Functional: PBE-GGA
Structure: relaxed

Summary:
Energy relative to the lowest polymorph listed for this composition   1.78 eV/f.u.
Energy of formation   408 meV/atom
Symmetry   Cmmm
Total magnetic moment   1.9 μB per formula unit

Geometry as extended XYZ:
```
4
Lattice="2.6433 -0.0055 0.0000 -1.1319 2.3887 0.0000 0.0000 0.0000 8.9105" Properties=species:S:1:pos:R:3 pbc="T T T"
Os 0.7557 1.1916 6.6829
Tc 0.0000 0.0000 0.0667
Co 0.7557 1.1916 2.2276
Tc 0.0000 0.0000 4.3885
```

=====

(2)
Compound: Ce4Co7Ge6
Source: Alexandria via LeMat-Bulk
Functional: PBE-GGA
Structure: relaxed

Summary:
Energy of formation   -513 meV/atom
Symmetry   Im-3m
Total magnetic moment   2.0 μB per formula unit

Geometry as extended XYZ:
```
17
Lattice="7.1350 0.0000 0.0000 -2.3783 6.7269 0.0000 -2.3783 -3.3635 5.8257" Properties=species:S:1:pos:R:3 pbc="T T T"
Co 1.1892 -0.8409 4.3693
Co -1.1892 0.8409 4.3693
Ce -1.1892 3.3635 0.0000
Ge -1.5734 1.1125 1.9270
Co 3.5675 2.5226 1.4564
Ge -3.1833 2.2509 3.8987
Ge 3.1833 -2.2509 3.8987
Ge 1.5734 -1.1125 1.9270
Ce 1.1892 1.6817 2.9128
Ge 3.1833 4.5019 0.0000
Co 3.5675 0.0000 2.9128
Ce 3.5675 0.0000 0.0000
Co 1.1892 4.2043 1.4564
Ce -1.1892 -1.6817 2.9128
Co 0.0000 0.0000 0.0000
Co -1.1892 3.3635 2.9128
Ge 1.5734 2.2251 0.0000
```

=====

(3)
Compound: Pa2SbPb
Source: Alexandria via LeMat-Bulk
Functional: PBE-GGA
Structure: relaxed

Summary:
Energy relative to the lowest polymorph listed for this composition   0.14 eV/f.u.
Symmetry   Fm-3m
Total magnetic moment   0.0 μB per formula unit

Geometry as extended XYZ:
```
4
Lattice="-3.9812 0.5030 3.4739 -4.7393 -2.1380 -1.0671 -1.6828 -4.2242 2.7377" Properties=species:S:1:pos:R:3 pbc="T T T"
Sb -5.2016 -2.9296 2.5722
Pa -2.6008 -1.4648 1.2861
Pa -7.8024 -4.3944 3.8583
Pb 0.0000 0.0000 0.0000
```

=====

(4)
Compound: LiRe2Mo
Source: Alexandria via LeMat-Bulk
Functional: PBE-GGA
Structure: relaxed

Summary:
Energy relative to the lowest polymorph listed for this composition   0.23 eV/f.u.
Energy of formation   237 meV/atom
Symmetry   F-43m
Total magnetic moment   0.0 μB per formula unit

Geometry as extended XYZ:
```
4
Lattice="4.3406 0.0000 0.0000 2.1703 3.7590 0.0000 2.1703 1.2530 3.5441" Properties=species:S:1:pos:R:3 pbc="T T T"
Mo 6.5108 3.7590 2.6580
Li 4.3406 2.5060 1.7720
Re 0.0000 0.0000 0.0000
Re 2.1703 1.2530 0.8860
```

=====

(5)
Compound: PmPt2Au
Source: Alexandria via LeMat-Bulk
Functional: PBE-GGA
Structure: relaxed

Summary:
Energy relative to the lowest polymorph listed for this composition   0.00 eV/f.u.
Energy of formation   -799 meV/atom
Symmetry   P4/mmm
Total magnetic moment   0.0 μB per formula unit

Geometry as extended XYZ:
```
4
Lattice="-0.7502 1.7547 -3.6432 -4.0202 -1.5371 0.0875 -1.3243 3.5771 1.9956" Properties=species:S:1:pos:R:3 pbc="T T T"
Pt -2.0101 -0.7686 0.0437
Pm -3.0473 1.8973 -0.7801
Pt -0.6622 1.7886 0.9978
Au -0.3751 0.8773 -1.8216
```

=====

(6)
Compound: Ba2VCd2
Source: Alexandria via LeMat-Bulk
Functional: PBE-GGA
Structure: relaxed

Summary:
Energy relative to the lowest polymorph listed for this composition   0.00 eV/f.u.
Energy of formation   234 meV/atom
Symmetry   P4/mbm
Total magnetic moment   3.9 μB per formula unit

Geometry as extended XYZ:
```
10
Lattice="-1.4554 5.4875 -5.5424 -0.8212 -5.7145 -5.4423 -5.3716 -0.2941 1.1193" Properties=species:S:1:pos:R:3 pbc="T T T"
Ba -3.3012 0.6124 -2.1938
V 0.0000 0.0000 0.0000
Ba -4.3470 -1.1335 -7.6715
V -1.1383 -0.1135 -5.4923
Cd -0.4974 -1.3235 -2.7348
Ba -4.1485 2.5234 -5.7580
Cd -1.2372 -2.9397 -6.7095
Cd -1.0394 2.7127 -4.2751
Ba -3.4997 -3.0445 -4.1073
Cd -1.7791 1.0965 -8.2498
```

=====

(7)
Compound: CdAgPt3
Source: Alexandria via LeMat-Bulk
Functional: PBE-GGA
Structure: relaxed

Summary:
Energy relative to the lowest polymorph listed for this composition   1.34 eV/f.u.
Energy of formation   206 meV/atom
Symmetry   P6_3/mmc
Total magnetic moment   0.0 μB per formula unit

Geometry as extended XYZ:
```
10
Lattice="4.5156 0.0000 0.0000 -2.2578 3.9106 0.0000 0.0000 0.0000 10.4156" Properties=species:S:1:pos:R:3 pbc="T T T"
Pt 0.0000 2.6071 1.2077
Pt 0.0000 0.0000 7.8117
Pt 2.2578 1.3035 9.2079
Ag 0.0000 0.0000 0.0000
Pt 2.2578 1.3035 6.4155
Cd 2.2578 1.3035 2.6039
Pt 0.0000 0.0000 2.6039
Ag 0.0000 0.0000 5.2078
Cd 0.0000 2.6071 7.8117
Pt 0.0000 2.6071 4.0001
```

=====

(8)
Compound: LiAg6Pd2
Source: Alexandria via LeMat-Bulk
Functional: PBE-GGA
Structure: relaxed

Summary:
Energy relative to the lowest polymorph listed for this composition   0.00 eV/f.u.
Energy of formation   -104 meV/atom
Symmetry   C2/m
Total magnetic moment   0.0 μB per formula unit

Geometry as extended XYZ:
```
9
Lattice="4.1302 0.0000 0.0000 2.0651 4.4797 0.0650 2.0651 1.8489 8.2199" Properties=species:S:1:pos:R:3 pbc="T T T"
Ag 2.0651 2.2900 6.8033
Ag 6.1954 4.9721 7.8002
Li 2.0651 3.1643 4.1424
Ag 6.1954 4.0386 1.4815
Ag 2.0651 1.3565 0.4847
Pd 4.1302 4.0619 5.9474
Ag 4.1302 1.3762 4.9988
Ag 4.1302 4.9524 3.2861
Pd 4.1302 2.2667 2.3375
```

=====

(9)
Compound: TlTeS2
Source: Alexandria via LeMat-Bulk
Functional: PBE-GGA
Structure: relaxed

Summary:
Energy relative to the lowest polymorph listed for this composition   0.00 eV/f.u.
Symmetry   P1
Total magnetic moment   0.0 μB per formula unit

Geometry as extended XYZ:
```
4
Lattice="4.5189 -0.0059 0.0537 0.0105 4.5028 -0.4187 -0.0400 -0.7005 6.1538" Properties=species:S:1:pos:R:3 pbc="T T T"
S 3.3593 0.7259 5.5525
Te 3.3868 1.0100 3.2065
S 1.1380 2.1982 2.9210
Tl 1.1391 3.7077 -0.1498
```

=====

(10)
Compound: PaGeSe
Source: Alexandria via LeMat-Bulk
Functional: PBE-GGA
Structure: relaxed

Summary:
Energy relative to the lowest polymorph listed for this composition   0.00 eV/f.u.
Symmetry   I4/mmm
Total magnetic moment   0.0 μB per formula unit

Geometry as extended XYZ:
```
6
Lattice="-2.7997 -2.7585 -0.7436 1.5719 -0.6180 -3.6260 5.5605 -4.1799 5.3294" Properties=species:S:1:pos:R:3 pbc="T T T"
Se 2.5130 -5.3976 -0.1970
Ge 0.7860 -0.3090 -1.8130
Ge -1.3998 -1.3793 -0.3718
Se 1.8198 -2.1588 1.1569
Pa 3.6285 -4.3044 2.3067
Pa 0.7043 -3.2520 -1.3468
```

=====

(11)
Compound: SmZnGa3Pd
Source: Alexandria via LeMat-Bulk
Functional: PBE-GGA
Structure: relaxed

Summary:
Energy of formation   -294 meV/atom
Symmetry   Cmcm
Total magnetic moment   0.0 μB per formula unit

Geometry as extended XYZ:
```
12
Lattice="6.2764 0.0000 0.0000 0.0000 6.1462 0.0000 0.0000 -3.0731 6.1567" Properties=species:S:1:pos:R:3 pbc="T T T"
Zn 1.5691 3.0731 5.2549
Ga 3.1382 4.3604 0.0000
Ga 4.7073 3.0731 4.3586
Ga 0.0000 1.7858 0.0000
Sm 1.5691 3.0731 2.4582
Pd 1.5691 0.0000 4.3583
Ga 1.5691 0.0000 1.7982
Ga 3.1382 1.7858 0.0000
Sm 4.7073 0.0000 3.6985
Pd 4.7073 3.0731 1.7985
Zn 4.7073 0.0000 0.9019
Ga 0.0000 4.3604 0.0000
```

=====

(12)
Compound: CaSb2TePt
Source: Alexandria via LeMat-Bulk
Functional: PBE-GGA
Structure: relaxed

Summary:
Energy relative to the lowest polymorph listed for this composition   5.82 eV/f.u.
Symmetry   P4/mmm
Total magnetic moment   0.0 μB per formula unit

Geometry as extended XYZ:
```
5
Lattice="5.6363 0.0000 0.0000 0.0000 5.6363 0.0000 0.0000 0.0000 5.5266" Properties=species:S:1:pos:R:3 pbc="T T T"
Ca 0.0000 0.0000 0.0000
Pt 2.8182 2.8182 2.7633
Te 0.0000 0.0000 2.7633
Sb 2.8182 0.0000 0.0000
Sb 0.0000 2.8182 0.0000
```

=====

(13)
Compound: Ba5CeBi4
Source: Alexandria via LeMat-Bulk
Functional: PBE-GGA
Structure: relaxed

Summary:
Energy of formation   -716 meV/atom
Symmetry   C2/m
Total magnetic moment   2.0 μB per formula unit

Geometry as extended XYZ:
```
10
Lattice="5.0248 0.0000 0.0000 0.0000 9.6067 -0.6988 -2.5124 -2.1107 10.6565" Properties=species:S:1:pos:R:3 pbc="T T T"
Bi 0.0000 7.3832 -0.4980
Bi 2.5124 0.3114 3.3762
Ba 2.5124 4.8751 6.7489
Bi 0.0000 7.1846 6.5814
Bi 2.5124 0.1128 10.4557
Ba 0.0000 7.5184 2.9901
Ce 2.5124 0.0000 0.0000
Ba 2.5124 4.8033 -0.3494
Ba 0.0000 2.6210 3.2088
Ba 2.5124 -0.0224 6.9675
```